Entry from the Alexandria database: a relaxed structure of PtPbCl3 (PBE).

Cell: 5.5048 5.5048 5.5048 Å, 90.00 90.00 90.00°
Last column: magnetic moment on the atom in μB.
Atoms (fractional coordinates):
Cl1 0.5000 0.0000 0.0000  0.00
Cl2 0.0000 0.5000 0.0000  0.02
Cl3 0.0000 0.0000 0.5000  0.00
Pt1 0.5000 0.5000 0.5000  0.67
Pb1 0.0000 0.0000 0.0000  0.00

Computed properties:
DOS at the Fermi energy: 22.36 states/eV/f.u.
Uncorrected formation energy: 1.412 eV per formula unit
Spin magnetization: 0.7 μB/f.u.
Crystal system: cubic
Energy above the lowest structure with this stoichiometry: 55.7 kJ/mol of atoms
DFT total energy: -13.88 eV for the cell shown

---

Entry from the Alexandria database: a relaxed structure of MgAgSe2 (PBE).

Cell: 3.9581 3.9581 6.6859 Å, 73.13 73.13 59.76°
Atoms (fractional coordinates):
Ag1 0.2500 0.2500 0.2500
Mg1 0.7500 0.7500 0.7500
Se1 0.4954 0.4954 0.5086
Se2 0.0046 0.0046 0.9914

Computed properties:
DOS at the Fermi energy: 2.44 states/eV/f.u.
Uncorrected formation energy: -2.118 eV per formula unit
Spin magnetization: 0.0 μB/f.u.
Crystal system: monoclinic
DFT total energy: -13.53 eV for the cell shown

---

Entry from the Alexandria database: a relaxed structure of Ba2Li2Al3 (PBE).

Cell: 4.6611 6.5891 7.2986 Å, 102.28 108.62 90.00°
Atoms (fractional coordinates):
Li1 0.6056 0.5367 0.2112
Li2 0.3944 0.4633 0.7888
Al1 0.0000 0.5000 0.0000
Al2 0.2168 0.5988 0.4335
Al3 0.7832 0.4012 0.5665
Ba1 0.1359 0.0661 0.2717
Ba2 0.8641 0.9339 0.7283

Computed properties:
DOS at the Fermi energy: 5.04 states/eV/f.u.
Spin magnetization: 0.0 μB/f.u.
Crystal system: monoclinic
Calculated formation energy: -0.05 eV per atom
DFT total energy: -19.28 eV for the cell shown

---

Entry from the Alexandria database: a relaxed structure of Rb2Zn2As (PBE).

Cell: 9.9816 9.9816 3.4838 Å, 90.00 90.00 90.00°
Atoms (fractional coordinates):
Zn1 0.5939 0.9061 0.5000
Zn2 0.0939 0.5939 0.5000
Zn3 0.9061 0.4061 0.5000
Zn4 0.4061 0.0939 0.5000
Rb1 0.8012 0.6988 0.0000
Rb2 0.1988 0.3012 0.0000
Rb3 0.3012 0.8012 0.0000
Rb4 0.6988 0.1988 0.0000
As1 0.0000 0.0000 0.0000
As2 0.5000 0.5000 0.0000

Computed properties:
DOS at the Fermi energy: 3.89 states/eV/f.u.
Spin magnetization: 0.0 μB/f.u.
Crystal system: tetragonal
Calculated formation energy: 0.36 eV per atom
Energy above the lowest structure with this stoichiometry: 34.1 kJ/mol of atoms
DFT total energy: -14.64 eV for the cell shown

---

Entry from the Alexandria database: a relaxed structure of BaRhW (PBE).

Cell: 6.8742 6.8742 6.8742 Å, 152.16 152.16 39.78°
Atoms (fractional coordinates):
Ba1 0.0003 0.0003 0.0000
Rh1 0.7086 0.7086 0.0000
W1 0.2911 0.2911 0.0000

Computed properties:
DOS at the Fermi energy: 3.07 states/eV/f.u.
Spin magnetization: 0.0 μB/f.u.
Crystal system: tetragonal
Calculated formation energy: 0.53 eV per atom
Energy above the lowest structure with this stoichiometry: 0.9 kJ/mol of atoms
DFT total energy: -20.63 eV for the cell shown

---

Entry from the Alexandria database: a relaxed structure of KRu2W (PBE).

Cell: 3.0651 3.0656 8.9476 Å, 70.27 90.00 90.00°
Atoms (fractional coordinates):
K1 0.5000 0.7500 0.7500
Ru1 0.0000 0.9253 0.0734
Ru2 0.0000 0.5747 0.4266
W1 0.5000 0.2500 0.2500

Computed properties:
DOS at the Fermi energy: 5.67 states/eV/f.u.
Spin magnetization: 0.0 μB/f.u.
Crystal system: monoclinic
Calculated formation energy: 0.60 eV per atom
Energy above the lowest structure with this stoichiometry: 0.0 kJ/mol of atoms
DFT total energy: -30.22 eV for the cell shown

---

Entry from the Alexandria database: a relaxed structure of Cr2TeIr (PBE).

Cell: 4.6750 4.6750 4.7003 Å, 80.95 80.95 37.54°
Last column: magnetic moment on the atom in μB.
Atoms (fractional coordinates):
Cr1 0.0127 0.0127 0.9811  1.49
Cr2 0.7453 0.7453 0.7458  1.29
Ir1 0.4848 0.4848 0.5481  0.04
Te1 0.2571 0.2571 0.2249  -0.07

Computed properties:
DOS at the Fermi energy: 3.68 states/eV/f.u.
Uncorrected formation energy: 1.485 eV per formula unit
Spin magnetization: 2.9 μB/f.u.
Crystal system: monoclinic
DFT total energy: -29.76 eV for the cell shown

---

Entry from the Alexandria database: a relaxed structure of Nd4SmTh3As8 (PBE).

Cell: 8.5191 8.5174 8.5196 Å, 120.01 120.00 90.00°
Atoms (fractional coordinates):
As1 0.7512 0.2540 0.0028
As2 0.7512 0.2539 0.5024
As3 0.2510 0.2530 0.5020
As4 0.2488 0.7461 0.4976
As5 0.7485 0.7460 0.9972
As6 0.2488 0.7460 0.9972
As7 0.2515 0.2540 0.0028
As8 0.7490 0.7470 0.4980
Nd1 0.5000 0.0000 0.5000
Nd2 0.5000 0.0000 0.0000
Nd3 0.0000 0.0000 0.0000
Nd4 0.0000 0.0000 0.5000
Th1 0.5000 0.5000 0.5000
Th2 0.0000 0.5000 0.5000
Th3 0.5000 0.5000 0.0000
Sm1 0.0000 0.5000 0.0000

Computed properties:
DOS at the Fermi energy: 6.08 states/eV/f.u.
Spin magnetization: 0.0 μB/f.u.
Crystal system: trigonal
Calculated formation energy: -1.50 eV per atom
DFT total energy: -107.17 eV for the cell shown

---

Entry from the Alexandria database: a relaxed structure of GaBH3 (PBE).

Cell: 3.3215 3.3215 3.3215 Å, 90.00 90.00 90.00°
Atoms (fractional coordinates):
B1 0.0000 0.0000 0.0000
Ga1 0.5000 0.5000 0.5000
H1 0.0000 0.0000 0.5000
H2 0.0000 0.5000 0.0000
H3 0.5000 0.0000 0.0000

Computed properties:
DOS at the Fermi energy: 0.80 states/eV/f.u.
Spin magnetization: 0.0 μB/f.u.
Crystal system: cubic
Energy above the lowest structure with this stoichiometry: 0.0 kJ/mol of atoms
DFT total energy: -15.94 eV for the cell shown

---

Entry from the Alexandria database: a relaxed structure of InP3Au3 (PBE).

Cell: 4.3578 6.1764 10.3300 Å, 90.00 90.00 90.00°
Atoms (fractional coordinates):
Au1 0.2500 0.0128 0.6203
Au2 0.7500 0.9872 0.3797
Au3 0.2500 0.2500 0.0624
Au4 0.2500 0.4872 0.6203
Au5 0.7500 0.5128 0.3797
Au6 0.7500 0.7500 0.9376
In1 0.2500 0.7500 0.2380
In2 0.7500 0.2500 0.7620
P1 0.7500 0.7500 0.5763
P2 0.7500 0.0686 0.1405
P3 0.2500 0.9314 0.8595
P4 0.2500 0.5686 0.8595
P5 0.2500 0.2500 0.4237
P6 0.7500 0.4314 0.1405

Computed properties:
DOS at the Fermi energy: 1.91 states/eV/f.u.
Spin magnetization: 0.0 μB/f.u.
Crystal system: orthorhombic
Calculated formation energy: 0.18 eV per atom
DFT total energy: -55.03 eV for the cell shown

---

Entry from the Alexandria database: a relaxed structure of TbPrPd (PBE).

Cell: 4.0444 4.8138 4.8138 Å, 120.00 90.00 90.00°
Atoms (fractional coordinates):
Pd1 0.9431 0.0000 0.0000
Tb1 0.7615 0.6667 0.3333
Pr1 0.2954 0.3333 0.6667

Computed properties:
DOS at the Fermi energy: 2.65 states/eV/f.u.
Spin magnetization: 0.0 μB/f.u.
Crystal system: trigonal
Calculated formation energy: -0.37 eV per atom
Energy above the lowest structure with this stoichiometry: 11.1 kJ/mol of atoms
DFT total energy: -15.73 eV for the cell shown

---

Entry from the Alexandria database: a relaxed structure of PrAgHgAu (PBE).

Cell: 5.0838 5.0838 5.0838 Å, 60.00 60.00 60.00°
Atoms (fractional coordinates):
Au1 0.5000 0.5000 0.5000
Ag1 0.2500 0.2500 0.2500
Pr1 0.7500 0.7500 0.7500
Hg1 0.0000 0.0000 0.0000

Computed properties:
DOS at the Fermi energy: 3.50 states/eV/f.u.
Spin magnetization: 0.0 μB/f.u.
Crystal system: cubic
Calculated formation energy: -0.44 eV per atom
DFT total energy: -12.96 eV for the cell shown

---

Entry from the Alexandria database: a relaxed structure of LiGaC (PBE).

Cell: 6.8072 4.2220 4.2220 Å, 117.83 117.89 62.11°
Atoms (fractional coordinates):
C1 0.0990 0.4088 0.5912
C2 0.9010 0.5912 0.4088
Li1 0.2101 0.6582 0.3418
Li2 0.7899 0.3418 0.6582
Ga1 0.5479 0.8070 0.1930
Ga2 0.4521 0.1930 0.8070

Computed properties:
DOS at the Fermi energy: 0.08 states/eV/f.u.
Spin magnetization: 0.0 μB/f.u.
Crystal system: monoclinic
Calculated formation energy: 0.10 eV per atom
DFT total energy: -27.72 eV for the cell shown